A crystal of Sr2CoGe2O7 relaxed with PBEsol, computed with meta-GGA SCAN.

```
data_Sr2CoGe2O7
_cell_length_a 5.313
_cell_length_b 8.130
_cell_length_c 8.130
_cell_angle_alpha 90.00
_cell_angle_beta 90.00
_cell_angle_gamma 90.00
_symmetry_space_group_name_H-M 'P 1'
_symmetry_Int_Tables_number 1
_symmetry_space_group_name_Hall 'P 1'
loop_
_atom_site_label
_atom_site_type_symbol
_atom_site_fract_x
_atom_site_fract_y
_atom_site_fract_z
O1 O 0.293 0.918 0.823
O2 O 0.682 0.500 0.000
O3 O 0.293 0.677 0.582
O4 O 0.781 0.138 0.362
O5 O 0.707 0.823 0.082
O6 O 0.707 0.418 0.677
O7 O 0.707 0.582 0.323
O8 O 0.707 0.177 0.918
O9 O 0.293 0.082 0.177
O10 O 0.781 0.862 0.638
O11 O 0.293 0.323 0.418
O12 O 0.219 0.362 0.862
O13 O 0.219 0.638 0.138
O14 O 0.318 0.000 0.500
Sr1 Sr 0.007 0.665 0.835
Sr2 Sr 0.993 0.835 0.335
Sr3 Sr 0.007 0.335 0.165
Sr4 Sr 0.993 0.165 0.665
Co1 Co 0.500 0.000 0.000
Co2 Co 0.500 0.500 0.500
Ge1 Ge 0.545 0.644 0.144
Ge2 Ge 0.545 0.356 0.856
Ge3 Ge 0.455 0.144 0.356
Ge4 Ge 0.455 0.856 0.644
```

space group = P-42_1m
E_form (uncorrected) = -2.299 eV per atom